Record 1
Sr2LiCdAg2 | GGA-PBE | optimized geometry

The space-group type is Ibam, No. 72. The density of states at the Fermi level comes out at 0.599 states/eV/atom. The formation energy is -0.25 eV/atom.

Lattice parameters (Å, degrees): 9.2296 9.2296 9.2296 139.52 59.79 137.95
Fractional coordinates of all 12 atoms:
Sr  0.1689  0.2428  0.4117
Sr  0.3311  0.7428  0.0740
Sr  0.6689  0.2572  0.9260
Sr  0.8311  0.7572  0.5883
Li  0.2500  0.7500  0.5000
Li  0.7500  0.2500  0.5000
Cd  0.2500  0.2500  0.0000
Cd  0.7500  0.7500  0.0000
Ag  0.1118  0.7397  0.8516
Ag  0.3882  0.2397  0.6279
Ag  0.6118  0.7603  0.3721
Ag  0.8882  0.2603  0.1484

=====

Record 2
Ac3TbPd12 | GGA-PBE | optimized geometry

The space-group type is P4/mmm, No. 123. The density of states at the Fermi level comes out at 0.510 states/eV/atom. The formation energy is -0.76 eV/atom.

Lattice parameters (Å, degrees): 4.2711 4.2711 17.0735 90.00 90.00 90.00
Fractional coordinates of all 16 atoms:
Ac  0.0000  0.0000  0.0000
Ac  0.0000  0.0000  0.2562
Ac  0.0000  0.0000  0.7438
Tb  0.0000  0.0000  0.5000
Pd  0.0000  0.5000  0.1275
Pd  0.0000  0.5000  0.3836
Pd  0.0000  0.5000  0.6164
Pd  0.0000  0.5000  0.8725
Pd  0.5000  0.0000  0.1275
Pd  0.5000  0.0000  0.3836
Pd  0.5000  0.0000  0.6164
Pd  0.5000  0.0000  0.8725
Pd  0.5000  0.5000  0.0000
Pd  0.5000  0.5000  0.2550
Pd  0.5000  0.5000  0.5000
Pd  0.5000  0.5000  0.7450

=====

Record 3
BaScCu2I | GGA-PBE | optimized geometry

The space-group type is P4/mmm, No. 123. The raw formation energy comes out at 0.763 eV per atom. The density of states at the Fermi level comes out at 1.144 states/eV/atom.

Lattice parameters (Å, degrees): 5.1525 5.1525 6.3091 90.00 90.00 90.00
Fractional coordinates of all 5 atoms:
Ba  0.0000  0.0000  0.0000
Sc  0.5000  0.5000  0.0000
Cu  0.0000  0.5000  0.5000
Cu  0.5000  0.0000  0.5000
I  0.0000  0.0000  0.5000

=====

Record 4
SrV2Ge | GGA-PBE | optimized geometry

The space-group type is I4_1/amd, No. 141. The density of states at the Fermi level comes out at 0.622 states/eV/atom. The formation energy is 0.42 eV/atom.

Lattice parameters (Å, degrees): 9.8564 9.8564 9.8564 153.91 153.91 37.23
Fractional coordinates of all 8 atoms:
Sr  0.3750  0.6250  0.7500
Sr  0.6250  0.3750  0.2500
V  0.0000  0.0000  0.0000
V  0.0000  0.0000  0.5000
V  0.0000  0.5000  0.0000
V  0.5000  0.0000  0.5000
Ge  0.1250  0.8750  0.2500
Ge  0.8750  0.1250  0.7500

=====

Record 5
Bi2Au2O7 | GGA-PBE | optimized geometry

The space-group type is C2/m, No. 12. The raw formation energy comes out at -0.349 eV per atom. The density of states at the Fermi level comes out at 0.493 states/eV/atom.

Lattice parameters (Å, degrees): 6.2391 6.2391 5.4567 94.78 94.78 112.16
Fractional coordinates of all 11 atoms:
Bi  0.1912  0.8088  0.0000
Bi  0.8088  0.1912  0.0000
Au  0.2737  0.2737  0.6803
Au  0.7263  0.7263  0.3197
O  0.0120  0.0120  0.7746
O  0.0722  0.4586  0.7659
O  0.4586  0.0722  0.7659
O  0.5000  0.5000  0.5000
O  0.5414  0.9278  0.2341
O  0.9278  0.5414  0.2341
O  0.9880  0.9880  0.2254

=====

Record 6
LiZn2Re | GGA-PBE | optimized geometry

The space-group type is P2/m, No. 10. The density of states at the Fermi level comes out at 0.459 states/eV/atom. The formation energy is 0.13 eV/atom. For the energy above the lowest structure with this stoichiometry, the calculation gives 139.1 meV per atom.

Lattice parameters (Å, degrees): 2.6143 4.0553 5.4608 90.00 98.79 90.00
Fractional coordinates of all 4 atoms:
Li  0.0000  0.0000  0.0000
Zn  0.4532  0.5000  0.2588
Zn  0.5468  0.5000  0.7412
Re  0.0000  0.0000  0.5000

=====

Record 7
LaPmMgSi | GGA-PBE | optimized geometry

The space-group type is F-43m, No. 216. The raw formation energy comes out at -0.294 eV per atom. The density of states at the Fermi level comes out at 0.802 states/eV/atom.

Lattice parameters (Å, degrees): 5.2834 5.2834 5.2834 60.00 60.00 60.00
Fractional coordinates of all 4 atoms:
La  0.0000  0.0000  0.0000
Pm  0.5000  0.5000  0.5000
Mg  0.2500  0.2500  0.2500
Si  0.7500  0.7500  0.7500

=====

Record 8
SmErHf | GGA-PBE | optimized geometry

The space-group type is I4mm, No. 107. The density of states at the Fermi level comes out at 1.435 states/eV/atom. The formation energy is 0.13 eV/atom. For the energy above the lowest structure with this stoichiometry, the calculation gives 0.0 meV per atom.

Lattice parameters (Å, degrees): 7.8706 7.8706 7.8706 155.36 155.36 35.13
Fractional coordinates of all 3 atoms:
Sm  0.0000  0.0000  0.0000
Er  0.3097  0.3097  0.0000
Hf  0.6597  0.6597  0.0000

=====

Record 9
Y6Ni2Pd | GGA-PBE | optimized geometry

The space-group type is Immm, No. 71. The density of states at the Fermi level comes out at 1.069 states/eV/atom. The formation energy is -0.39 eV/atom.

Lattice parameters (Å, degrees): 8.2984 8.2984 8.2984 110.39 109.67 108.36
Fractional coordinates of all 18 atoms:
Y  0.0587  0.2465  0.8122
Y  0.1776  0.2727  0.4503
Y  0.1776  0.7273  0.9049
Y  0.3272  0.0177  0.6905
Y  0.3272  0.6367  0.3095
Y  0.4343  0.2465  0.1878
Y  0.5657  0.7535  0.8122
Y  0.6728  0.3633  0.6905
Y  0.6728  0.9823  0.3095
Y  0.8224  0.2727  0.0951
Y  0.8224  0.7273  0.5497
Y  0.9413  0.7535  0.1878
Ni  0.1183  0.6183  0.5000
Ni  0.3427  0.0000  0.3427
Ni  0.6573  0.0000  0.6573
Ni  0.8817  0.3817  0.5000
Pd  0.0000  0.0000  0.0000
Pd  0.5000  0.5000  0.0000

=====

Record 10
Cd2WSe | GGA-PBE | optimized geometry

The space-group type is I-4m2, No. 119. The raw formation energy comes out at 0.748 eV per atom. The density of states at the Fermi level comes out at 0.871 states/eV/atom.

Lattice parameters (Å, degrees): 5.2538 5.2538 5.2538 132.29 132.29 69.78
Fractional coordinates of all 4 atoms:
Cd  0.0000  0.0000  0.0000
Cd  0.7500  0.2500  0.5000
W  0.5000  0.5000  0.0000
Se  0.2500  0.7500  0.5000

=====

Record 11
BaNiI3 | GGA-PBE | optimized geometry

The space-group type is Pm-3m, No. 221. The raw formation energy comes out at -0.079 eV per atom. The density of states at the Fermi level comes out at 0.019 states/eV/atom. For the energy above the lowest structure with this stoichiometry, the calculation gives 770.0 meV per atom.

Lattice parameters (Å, degrees): 6.7069 6.7069 6.7069 90.00 90.00 90.00
Fractional coordinates of all 5 atoms:
Ba  0.0000  0.0000  0.0000
Ni  0.5000  0.5000  0.5000
I  0.0000  0.0000  0.5000
I  0.0000  0.5000  0.0000
I  0.5000  0.0000  0.0000

=====

Record 12
HgS2N | GGA-PBE | optimized geometry

The space-group type is Fm-3m, No. 225. The raw formation energy comes out at 1.736 eV per atom. The density of states at the Fermi level comes out at 0.635 states/eV/atom. For the energy above the lowest structure with this stoichiometry, the calculation gives 1255.2 meV per atom.

Lattice parameters (Å, degrees): 4.5784 4.5784 4.5784 60.00 60.00 60.00
Fractional coordinates of all 4 atoms:
Hg  0.0000  0.0000  0.0000
S  0.2500  0.2500  0.2500
S  0.7500  0.7500  0.7500
N  0.5000  0.5000  0.5000